Density functional theory data (PBE-GGA) for a relaxed CaCeSm2Bi4 crystal.

As for the total energy: -39.62 eV for the cell shown. The calculation puts the total magnetization at 0.33 μB/cell. The calculated formation energy is -0.84 eV/atom.

Lattice parameters (Å, degrees): 7.895 4.580 7.952 90.00 109.24 90.00
Element x y z (fractional)
Ca: 0.000 0.000 0.000
Ce: 0.500 0.500 0.000
Sm: 0.000 0.500 0.500
Sm: 0.500 0.000 0.500
Bi: 0.252 0.000 0.750
Bi: 0.254 0.500 0.251
Bi: 0.746 0.500 0.749
Bi: 0.748 0.000 0.250

***

Density functional theory data (PBE-GGA) for a relaxed CaCeSnBi crystal.

As for the total energy: -72.24 eV for the cell shown. The calculation puts the total magnetization at 3.78 μB/cell. The calculated formation energy is -0.56 eV/atom.

Lattice parameters (Å, degrees): 7.839 7.839 7.839 90.00 90.00 90.00
Element x y z (fractional)
Ca: 0.000 0.000 0.000
Ca: 0.000 0.500 0.500
Ca: 0.500 0.000 0.500
Ca: 0.500 0.500 0.000
Ce: 0.000 0.000 0.500
Ce: 0.000 0.500 0.000
Ce: 0.500 0.000 0.000
Ce: 0.500 0.500 0.500
Sn: 0.250 0.250 0.250
Sn: 0.250 0.750 0.750
Sn: 0.750 0.250 0.750
Sn: 0.750 0.750 0.250
Bi: 0.250 0.250 0.750
Bi: 0.250 0.750 0.250
Bi: 0.750 0.250 0.250
Bi: 0.750 0.750 0.750

***

Density functional theory data (PBE-GGA) for a relaxed Ca2TbCeBi4 crystal.

As for the total energy: -36.17 eV for the cell shown. The calculation puts the total magnetization at 0.00 μB/cell. The calculated formation energy is -0.76 eV/atom.

Lattice parameters (Å, degrees): 7.892 4.596 7.943 90.00 109.77 90.00
Element x y z (fractional)
Ca: 0.000 0.000 0.000
Ca: 0.000 0.500 0.500
Tb: 0.500 0.000 0.500
Ce: 0.500 0.500 0.000
Bi: 0.260 0.500 0.254
Bi: 0.261 0.000 0.753
Bi: 0.739 0.000 0.247
Bi: 0.740 0.500 0.746

***

Density functional theory data (PBE-GGA) for a relaxed CaTbCe2Bi4 crystal.

As for the total energy: -40.52 eV for the cell shown. The calculation puts the total magnetization at 1.01 μB/cell. The calculated formation energy is -0.81 eV/atom.

Lattice parameters (Å, degrees): 7.849 4.591 7.969 90.00 109.62 90.00
Element x y z (fractional)
Ca: 0.000 0.000 0.000
Tb: 0.000 0.500 0.500
Ce: 0.500 0.000 0.500
Ce: 0.500 0.500 0.000
Bi: 0.249 0.000 0.746
Bi: 0.253 0.500 0.255
Bi: 0.747 0.500 0.745
Bi: 0.751 0.000 0.254

***

Density functional theory data (PBE-GGA) for a relaxed CaTb2CeBi4 crystal.

As for the total energy: -39.29 eV for the cell shown. The calculation puts the total magnetization at 0.34 μB/cell. The calculated formation energy is -0.82 eV/atom.

Lattice parameters (Å, degrees): 7.835 4.546 7.899 90.00 109.20 90.00
Element x y z (fractional)
Ca: 0.000 0.000 0.000
Tb: 0.000 0.500 0.500
Tb: 0.500 0.000 0.500
Ce: 0.500 0.500 0.000
Bi: 0.251 0.000 0.746
Bi: 0.255 0.500 0.255
Bi: 0.745 0.500 0.745
Bi: 0.749 0.000 0.254

***

Density functional theory data (PBE-GGA) for a relaxed CaCeTh2Bi4 crystal.

As for the total energy: -44.08 eV for the cell shown. The calculation puts the total magnetization at 1.06 μB/cell. The calculated formation energy is -0.72 eV/atom.

Lattice parameters (Å, degrees): 7.981 4.603 7.984 90.00 109.39 90.00
Element x y z (fractional)
Ca: 0.000 0.000 0.000
Ce: 0.500 0.500 0.000
Th: 0.000 0.500 0.500
Th: 0.500 0.000 0.500
Bi: 0.249 0.000 0.751
Bi: 0.250 0.500 0.251
Bi: 0.750 0.500 0.749
Bi: 0.751 0.000 0.249

***

Density functional theory data (PBE-GGA) for a relaxed Ca3Ce2ThBi6 crystal.

As for the total energy: -57.80 eV for the cell shown. The calculation puts the total magnetization at 0.26 μB/cell. The calculated formation energy is -0.77 eV/atom.

Lattice parameters (Å, degrees): 8.035 8.035 7.885 99.78 99.78 120.00
Element x y z (fractional)
Ca: 0.000 0.000 0.000
Ca: 0.335 0.665 0.000
Ca: 0.665 0.335 0.000
Ce: 0.167 0.833 0.500
Ce: 0.833 0.167 0.500
Th: 0.500 0.500 0.500
Bi: 0.083 0.419 0.259
Bi: 0.243 0.243 0.741
Bi: 0.419 0.083 0.259
Bi: 0.581 0.917 0.741
Bi: 0.757 0.757 0.259
Bi: 0.917 0.581 0.741

***

Density functional theory data (PBE-GGA) for a relaxed CaCeTlBi crystal.

As for the total energy: -63.89 eV for the cell shown. The calculation puts the total magnetization at 4.74 μB/cell. The calculated formation energy is -0.45 eV/atom.

Lattice parameters (Å, degrees): 7.871 7.871 7.871 90.00 90.00 90.00
Element x y z (fractional)
Ca: 0.000 0.000 0.000
Ca: 0.000 0.500 0.500
Ca: 0.500 0.000 0.500
Ca: 0.500 0.500 0.000
Ce: 0.000 0.000 0.500
Ce: 0.000 0.500 0.000
Ce: 0.500 0.000 0.000
Ce: 0.500 0.500 0.500
Tl: 0.250 0.250 0.750
Tl: 0.250 0.750 0.250
Tl: 0.750 0.250 0.250
Tl: 0.750 0.750 0.750
Bi: 0.250 0.250 0.250
Bi: 0.250 0.750 0.750
Bi: 0.750 0.250 0.750
Bi: 0.750 0.750 0.250

***

Density functional theory data (PBE-GGA) for a relaxed CaCeTm2Bi4 crystal.

As for the total energy: -38.61 eV for the cell shown. The calculation puts the total magnetization at 0.36 μB/cell. The calculated formation energy is -0.78 eV/atom.

Lattice parameters (Å, degrees): 7.784 4.519 7.840 90.00 109.22 90.00
Element x y z (fractional)
Ca: 0.000 0.000 0.000
Ce: 0.500 0.500 0.000
Tm: 0.000 0.500 0.500
Tm: 0.500 0.000 0.500
Bi: 0.249 0.000 0.742
Bi: 0.256 0.500 0.259
Bi: 0.744 0.500 0.741
Bi: 0.751 0.000 0.258

***

Density functional theory data (PBE-GGA) for a relaxed Ca2CeTmBi4 crystal.

As for the total energy: -35.83 eV for the cell shown. The calculation puts the total magnetization at 0.00 μB/cell. The calculated formation energy is -0.74 eV/atom.

Lattice parameters (Å, degrees): 7.877 4.587 7.898 90.00 109.79 90.00
Element x y z (fractional)
Ca: 0.000 0.000 0.000
Ca: 0.500 0.500 0.000
Ce: 0.000 0.500 0.500
Tm: 0.500 0.000 0.500
Bi: 0.249 0.000 0.738
Bi: 0.258 0.500 0.263
Bi: 0.742 0.500 0.737
Bi: 0.751 0.000 0.262

***

Density functional theory data (PBE-GGA) for a relaxed CaBiCl crystal.

As for the total energy: -22.79 eV for the cell shown. The formation energy (no corrections) is -28.184 kcal/mol of atoms. Its energy relative to the lowest polymorph listed for this composition is 186.9 meV per atom. The calculation puts the total magnetization at 0.00 μB/cell.

Lattice parameters (Å, degrees): 6.523 3.790 8.484 90.00 91.39 90.00
Element x y z (fractional)
Ca: 0.000 0.000 0.000
Ca: 0.500 0.500 0.000
Bi: 0.176 0.500 0.312
Bi: 0.676 0.000 0.312
Cl: 0.328 0.000 0.816
Cl: 0.828 0.500 0.816

***

Density functional theory data (PBE-GGA) for a relaxed CaBiCl3 crystal.

As for the total energy: -14.77 eV for the cell shown. The formation energy (no corrections) is -15.417 kcal/mol of atoms. Its energy relative to the lowest polymorph listed for this composition is 516.8 meV per atom. The calculation puts the total magnetization at 0.00 μB/cell.

Lattice parameters (Å, degrees): 5.646 5.646 5.646 90.00 90.00 90.00
Element x y z (fractional)
Ca: 0.000 0.000 0.000
Bi: 0.500 0.500 0.500
Cl: 0.000 0.500 0.500
Cl: 0.500 0.000 0.500
Cl: 0.500 0.500 0.000

***

Density functional theory data (PBE-GGA) for a relaxed CaBiCl crystal.

As for the total energy: -23.82 eV for the cell shown. The formation energy (no corrections) is -32.150 kcal/mol of atoms. Its energy relative to the lowest polymorph listed for this composition is 14.9 meV per atom. The calculation puts the total magnetization at 0.00 μB/cell.

Lattice parameters (Å, degrees): 5.107 4.403 8.717 90.00 104.28 90.00
Element x y z (fractional)
Ca: 0.178 0.250 0.320
Ca: 0.822 0.750 0.680
Bi: 0.232 0.750 0.032
Bi: 0.768 0.250 0.968
Cl: 0.264 0.750 0.540
Cl: 0.736 0.250 0.460